Entry 1:
A geometry-optimized BaTl2O2 structure, computed with PBE.

a = 4.507 Å, b = 4.507 Å, c = 11.134 Å
α = 90.00°, β = 90.00°, γ = 90.00°
Fractional coordinates of all 10 atoms:
Ba 0.000 0.000 0.000
Ba 0.500 0.500 0.500
Tl 0.000 0.000 0.341
Tl 0.000 0.000 0.659
Tl 0.500 0.500 0.159
Tl 0.500 0.500 0.841
O 0.000 0.500 0.250
O 0.000 0.500 0.750
O 0.500 0.000 0.250
O 0.500 0.000 0.750

The calculation puts the electronic total energy at -4.176 eV/atom. Its energy relative to the elements, uncorrected is -0.86 eV per atom. The polymorph energy (0 for the lowest one) is 498 meV per atom.



Entry 2:
A geometry-optimized Ba8Tl2O structure, computed with PBE.

a = 10.683 Å, b = 10.683 Å, c = 7.604 Å
α = 107.88°, β = 107.88°, γ = 36.82°
Fractional coordinates of all 11 atoms:
Ba 0.027 0.027 0.268
Ba 0.215 0.215 0.789
Ba 0.371 0.371 0.573
Ba 0.422 0.422 0.160
Ba 0.578 0.578 0.840
Ba 0.629 0.629 0.427
Ba 0.785 0.785 0.211
Ba 0.973 0.973 0.732
Tl 0.194 0.194 0.245
Tl 0.806 0.806 0.755
O 0.500 0.500 0.500

The calculation puts the electronic total energy at -2.714 eV/atom. Its energy relative to the elements, uncorrected is -0.43 eV per atom.



Entry 3:
A geometry-optimized Ba6Tl3O structure, computed with PBE.

a = 8.091 Å, b = 9.415 Å, c = 12.574 Å
α = 90.00°, β = 118.98°, γ = 90.00°
Fractional coordinates of all 20 atoms:
Ba 0.081 0.041 0.224
Ba 0.081 0.459 0.724
Ba 0.195 0.711 0.066
Ba 0.195 0.789 0.566
Ba 0.363 0.150 0.054
Ba 0.363 0.350 0.554
Ba 0.637 0.650 0.446
Ba 0.637 0.850 0.946
Ba 0.805 0.211 0.434
Ba 0.805 0.289 0.934
Ba 0.919 0.541 0.276
Ba 0.919 0.959 0.776
Tl 0.304 0.112 0.746
Tl 0.304 0.388 0.246
Tl 0.500 0.000 0.500
Tl 0.500 0.500 0.000
Tl 0.696 0.612 0.754
Tl 0.696 0.888 0.254
O 0.000 0.000 0.000
O 0.000 0.500 0.500

The calculation puts the electronic total energy at -3.031 eV/atom. Its energy relative to the elements, uncorrected is -0.67 eV per atom. The polymorph energy (0 for the lowest one) is 44 meV per atom.



Entry 4:
A geometry-optimized BaTlO3 structure, computed with PBE.

a = 4.297 Å, b = 4.297 Å, c = 4.297 Å
α = 90.00°, β = 90.00°, γ = 90.00°
Fractional coordinates of all 5 atoms:
Ba 0.000 0.000 0.000
Tl 0.500 0.500 0.500
O 0.000 0.500 0.500
O 0.500 0.000 0.500
O 0.500 0.500 0.000

The calculation puts the electronic total energy at -5.100 eV/atom. Its energy relative to the elements, uncorrected is -1.27 eV per atom.



Entry 5:
A geometry-optimized Ba3TlO structure, computed with PBE.

a = 7.333 Å, b = 7.669 Å, c = 8.256 Å
α = 62.35°, β = 65.71°, γ = 89.98°
Fractional coordinates of all 10 atoms:
Ba 0.000 0.000 0.000
Ba 0.001 0.469 0.000
Ba 0.437 0.741 0.468
Ba 0.438 0.262 0.469
Ba 0.585 0.772 0.924
Ba 0.898 0.465 0.541
Tl 0.010 0.014 0.442
Tl 0.461 0.223 0.024
O 0.157 0.399 0.673
O 0.712 0.628 0.215

The calculation puts the electronic total energy at -3.729 eV/atom. Its energy relative to the elements, uncorrected is -1.11 eV per atom.



Entry 6:
A geometry-optimized Ba4TlO structure, computed with PBE.

a = 10.735 Å, b = 10.735 Å, c = 7.673 Å
α = 110.84°, β = 110.84°, γ = 119.30°
Fractional coordinates of all 12 atoms:
Ba 0.059 0.667 0.867
Ba 0.198 0.307 0.639
Ba 0.307 0.198 0.139
Ba 0.333 0.941 0.633
Ba 0.667 0.059 0.367
Ba 0.693 0.802 0.861
Ba 0.802 0.693 0.361
Ba 0.941 0.333 0.133
Tl 0.375 0.625 0.250
Tl 0.625 0.375 0.750
O 0.125 0.875 0.750
O 0.875 0.125 0.250

The calculation puts the electronic total energy at -3.428 eV/atom. Its energy relative to the elements, uncorrected is -0.93 eV per atom. The polymorph energy (0 for the lowest one) is 24 meV per atom.



Entry 7:
A geometry-optimized BaTl2O4 structure, computed with PBE.

a = 10.505 Å, b = 3.536 Å, c = 12.198 Å
α = 90.00°, β = 90.00°, γ = 90.00°
Fractional coordinates of all 28 atoms:
Ba 0.245 0.250 0.151
Ba 0.255 0.750 0.651
Ba 0.745 0.250 0.349
Ba 0.755 0.750 0.849
Tl 0.074 0.250 0.391
Tl 0.079 0.250 0.893
Tl 0.421 0.750 0.393
Tl 0.426 0.750 0.891
Tl 0.574 0.250 0.109
Tl 0.579 0.250 0.607
Tl 0.921 0.750 0.107
Tl 0.926 0.750 0.609
O 0.022 0.750 0.781
O 0.078 0.250 0.574
O 0.119 0.750 0.019
O 0.208 0.750 0.335
O 0.292 0.250 0.835
O 0.381 0.250 0.519
O 0.422 0.750 0.074
O 0.478 0.250 0.281
O 0.522 0.750 0.719
O 0.578 0.250 0.926
O 0.619 0.750 0.481
O 0.708 0.750 0.165
O 0.792 0.250 0.665
O 0.881 0.250 0.981
O 0.922 0.750 0.426
O 0.978 0.250 0.219

The calculation puts the electronic total energy at -5.052 eV/atom. Its energy relative to the elements, uncorrected is -1.27 eV per atom. The polymorph energy (0 for the lowest one) is 0 meV per atom.



Entry 8:
A geometry-optimized Ba12Tl3O5 structure, computed with PBE.

a = 15.663 Å, b = 15.663 Å, c = 15.663 Å
α = 109.47°, β = 109.47°, γ = 109.47°
Fractional coordinates of all 80 atoms:
Ba 0.011 0.196 0.113
Ba 0.011 0.315 0.899
Ba 0.084 0.696 0.685
Ba 0.084 0.887 0.399
Ba 0.101 0.613 0.416
Ba 0.101 0.989 0.685
Ba 0.113 0.011 0.196
Ba 0.113 0.601 0.916
Ba 0.185 0.196 0.584
Ba 0.185 0.489 0.601
Ba 0.196 0.113 0.011
Ba 0.196 0.584 0.185
Ba 0.304 0.315 0.916
Ba 0.304 0.489 0.387
Ba 0.315 0.899 0.011
Ba 0.315 0.916 0.304
Ba 0.387 0.304 0.489
Ba 0.387 0.584 0.899
Ba 0.399 0.084 0.887
Ba 0.399 0.815 0.511
Ba 0.416 0.101 0.613
Ba 0.416 0.815 0.804
Ba 0.489 0.387 0.304
Ba 0.489 0.601 0.185
Ba 0.511 0.399 0.815
Ba 0.511 0.613 0.696
Ba 0.584 0.185 0.196
Ba 0.584 0.899 0.387
Ba 0.601 0.185 0.489
Ba 0.601 0.916 0.113
Ba 0.613 0.416 0.101
Ba 0.613 0.696 0.511
Ba 0.685 0.084 0.696
Ba 0.685 0.101 0.989
Ba 0.696 0.511 0.613
Ba 0.696 0.685 0.084
Ba 0.804 0.416 0.815
Ba 0.804 0.887 0.989
Ba 0.815 0.511 0.399
Ba 0.815 0.804 0.416
Ba 0.887 0.399 0.084
Ba 0.887 0.989 0.804
Ba 0.899 0.011 0.315
Ba 0.899 0.387 0.584
Ba 0.916 0.113 0.601
Ba 0.916 0.304 0.315
Ba 0.989 0.685 0.101
Ba 0.989 0.804 0.887
Tl 0.125 0.250 0.375
Tl 0.125 0.375 0.750
Tl 0.250 0.375 0.125
Tl 0.250 0.875 0.625
Tl 0.375 0.125 0.250
Tl 0.375 0.750 0.125
Tl 0.625 0.250 0.875
Tl 0.625 0.875 0.750
Tl 0.750 0.125 0.375
Tl 0.750 0.625 0.875
Tl 0.875 0.625 0.250
Tl 0.875 0.750 0.625
O 0.000 0.000 0.000
O 0.000 0.000 0.500
O 0.000 0.500 0.000
O 0.000 0.500 0.500
O 0.125 0.750 0.875
O 0.125 0.875 0.250
O 0.250 0.125 0.875
O 0.250 0.625 0.375
O 0.375 0.250 0.625
O 0.375 0.625 0.750
O 0.500 0.000 0.000
O 0.500 0.000 0.500
O 0.500 0.500 0.000
O 0.500 0.500 0.500
O 0.625 0.375 0.250
O 0.625 0.750 0.375
O 0.750 0.375 0.625
O 0.750 0.875 0.125
O 0.875 0.125 0.750
O 0.875 0.250 0.125

The calculation puts the electronic total energy at -4.059 eV/atom. Its energy relative to the elements, uncorrected is -1.31 eV per atom.



Entry 9:
A geometry-optimized Ba12Tl3O4 structure, computed with PBE.

a = 9.661 Å, b = 9.661 Å, c = 9.661 Å
α = 109.47°, β = 109.47°, γ = 109.47°
Fractional coordinates of all 19 atoms:
Ba 0.041 0.767 0.274
Ba 0.233 0.274 0.507
Ba 0.233 0.726 0.959
Ba 0.274 0.041 0.767
Ba 0.274 0.507 0.233
Ba 0.493 0.767 0.726
Ba 0.507 0.233 0.274
Ba 0.726 0.493 0.767
Ba 0.726 0.959 0.233
Ba 0.767 0.274 0.041
Ba 0.767 0.726 0.493
Ba 0.959 0.233 0.726
Tl 0.000 0.500 0.500
Tl 0.500 0.000 0.500
Tl 0.500 0.500 0.000
O 0.000 0.000 0.500
O 0.000 0.500 0.000
O 0.500 0.000 0.000
O 0.500 0.500 0.500

The calculation puts the electronic total energy at -3.797 eV/atom. Its energy relative to the elements, uncorrected is -1.17 eV per atom.



Entry 10:
A geometry-optimized BaTlO3 structure, computed with PBE.

a = 4.969 Å, b = 3.893 Å, c = 10.101 Å
α = 90.00°, β = 99.12°, γ = 90.00°
Fractional coordinates of all 10 atoms:
Ba 0.142 0.000 0.179
Ba 0.858 0.000 0.821
Tl 0.284 0.500 0.608
Tl 0.716 0.500 0.392
O 0.141 0.500 0.982
O 0.212 0.500 0.388
O 0.322 0.000 0.712
O 0.678 0.000 0.288
O 0.788 0.500 0.612
O 0.859 0.500 0.018

The calculation puts the electronic total energy at -5.218 eV/atom. Its energy relative to the elements, uncorrected is -1.39 eV per atom.



Entry 11:
A geometry-optimized Ba2TlO3 structure, computed with PBE.

a = 3.808 Å, b = 4.450 Å, c = 14.655 Å
α = 90.00°, β = 90.00°, γ = 90.00°
Fractional coordinates of all 12 atoms:
Ba 0.000 0.000 0.154
Ba 0.000 0.000 0.846
Ba 0.500 0.500 0.346
Ba 0.500 0.500 0.654
Tl 0.000 0.000 0.500
Tl 0.500 0.500 0.000
O 0.000 0.000 0.331
O 0.000 0.000 0.669
O 0.000 0.500 0.500
O 0.500 0.000 0.000
O 0.500 0.500 0.169
O 0.500 0.500 0.831

The calculation puts the electronic total energy at -5.319 eV/atom. Its energy relative to the elements, uncorrected is -1.80 eV per atom. The polymorph energy (0 for the lowest one) is 27 meV per atom.



Entry 12:
A geometry-optimized BaTlO3 structure, computed with PBE.

a = 4.595 Å, b = 4.595 Å, c = 4.595 Å
α = 90.00°, β = 90.00°, γ = 90.00°
Fractional coordinates of all 5 atoms:
Ba 0.000 0.000 0.000
Tl 0.500 0.500 0.500
O 0.000 0.000 0.500
O 0.000 0.500 0.000
O 0.500 0.000 0.000

The calculation puts the electronic total energy at -4.216 eV/atom. Its energy relative to the elements, uncorrected is -0.38 eV per atom.



In the order shown, the computed total moment values come out to 0.000; 0.002; 0.000; 0.000; 0.333; 0.400; 0.000; 0.000; 0.000; 0.063; 0.000; 0.000 μB/f.u..